VASP calculation (PBE) on a geometry-optimized Bi2AsPt6 structure.

Lattice parameters (Å, degrees): 5.715 5.729 6.233 76.81 90.00 119.92
Element x y z (fractional)
Bi (0.640, 0.281, 0.157)
Bi (0.360, 0.719, 0.843)
Pt (0.121, 0.242, 0.305)
Pt (0.878, 0.271, 0.689)
Pt (0.607, 0.729, 0.311)
Pt (0.879, 0.758, 0.695)
Pt (0.393, 0.271, 0.689)
Pt (0.122, 0.729, 0.311)
As (0.000, 0.000, 0.000)

**DOS at the Fermi energy**: 6.3 states/eV/f.u.
**M_tot**: 0.00 Bohr magnetons per cell
**Formation energy from the elements**: -0.1494 eV per atom
**V**: 19.0 Å³/atom